# K4CuMo

Crystalline K4CuMo at its relaxed geometry (PBE, the Alexandria database).

Its formation energy is 1.2361 eV per atom. The value obtained for the density of states at the Fermi level is 2.91 states/eV/f.u.

abc: 7.266 7.266 7.266
angles: 60.00 60.00 60.00
Fractional positions:
K 0.125 0.125 0.125
K 0.125 0.125 0.624
K 0.125 0.624 0.125
K 0.624 0.125 0.125
Cu 0.500 0.500 0.500
Mo 0.750 0.750 0.750



# KCuMo

Crystalline KCuMo at its relaxed geometry (PBE, the Alexandria database).

For the polymorph energy (0 for the lowest one), the calculation gives 39 kJ/mol of formula units. Its formation energy is 0.9097 eV per atom. The value obtained for the density of states at the Fermi level is 1.68 states/eV/f.u.

abc: 6.874 6.874 6.874
angles: 157.99 146.11 40.78
Fractional positions:
K 0.000 0.000 0.000
Cu 0.702 0.702 0.000
Mo 0.275 0.275 0.000



# KCu3Mo

Crystalline KCu3Mo at its relaxed geometry (PBE, the Alexandria database).

For the polymorph energy (0 for the lowest one), the calculation gives 502 kJ/mol of formula units. Its formation energy is 2.1334 eV per atom. The value obtained for the density of states at the Fermi level is 1.76 states/eV/f.u.

abc: 4.812 4.812 4.812
angles: 90.00 90.00 90.00
Fractional positions:
K 0.000 0.000 0.000
Cu 0.000 0.000 0.500
Cu 0.000 0.500 0.000
Cu 0.500 0.000 0.000
Mo 0.500 0.500 0.500



# KCuMo3

Crystalline KCuMo3 at its relaxed geometry (PBE, the Alexandria database).

Its formation energy is 2.0563 eV per atom. The value obtained for the density of states at the Fermi level is 8.56 states/eV/f.u.

abc: 4.731 4.731 4.731
angles: 90.00 90.00 90.00
Fractional positions:
K 0.000 0.000 0.000
Cu 0.500 0.500 0.500
Mo 0.000 0.500 0.500
Mo 0.500 0.000 0.500
Mo 0.500 0.500 0.000